A:
## H3PtCl (GGA-PBE)

Data for a relaxed structure of H3PtCl.

The structure in CIF format:
```
data_H3PtCl
_space_group_name_H-M_alt 'P m -3 m'
_space_group_IT_number 221
_space_group_name_Hall '-P 4 2 3'
_cell_length_a 3.660
_cell_length_b 3.660
_cell_length_c 3.660
_cell_angle_alpha 90.00
_cell_angle_beta 90.00
_cell_angle_gamma 90.00
loop_
_atom_site_label
_atom_site_fract_x
_atom_site_fract_y
_atom_site_fract_z
_atom_site_occupancy
H1 0.000 0.000 0.500 1
Pt1 0.000 0.000 0.000 1
Cl1 0.500 0.500 0.500 1
```

calculated density: 7.91 Mg/m³
V: 49 Å³/f.u.
magnetization: 0.000 μB per atom


B:
## H3PtCl (GGA-PBE)

Data for a relaxed structure of H3PtCl.

The structure in CIF format:
```
data_H3PtCl
_space_group_name_H-M_alt 'C 1 2/m 1'
_space_group_IT_number 12
_space_group_name_Hall '-C 2y'
_cell_length_a 9.311
_cell_length_b 5.327
_cell_length_c 6.405
_cell_angle_alpha 90.00
_cell_angle_beta 115.72
_cell_angle_gamma 90.00
loop_
_atom_site_label
_atom_site_fract_x
_atom_site_fract_y
_atom_site_fract_z
_atom_site_occupancy
H1 0.142 0.174 0.406 1
H2 0.221 0.500 0.242 1
Pt1 0.185 0.500 0.456 1
Cl1 0.108 0.500 0.793 1
```

calculated density: 5.42 Mg/m³
V: 72 Å³/f.u.
magnetization: 0.000 μB per atom


C:
## H3PtCl (GGA-PBE)

Data for a relaxed structure of H3PtCl.

The structure in CIF format:
```
data_H3PtCl
_space_group_name_H-M_alt 'P m -3 m'
_space_group_IT_number 221
_space_group_name_Hall '-P 4 2 3'
_cell_length_a 3.625
_cell_length_b 3.625
_cell_length_c 3.625
_cell_angle_alpha 90.00
_cell_angle_beta 90.00
_cell_angle_gamma 90.00
loop_
_atom_site_label
_atom_site_fract_x
_atom_site_fract_y
_atom_site_fract_z
_atom_site_occupancy
H1 0.000 0.000 0.500 1
Pt1 0.500 0.500 0.500 1
Cl1 0.000 0.000 0.000 1
```

calculated density: 8.14 Mg/m³
V: 48 Å³/f.u.
magnetization: 0.000 μB per atom


The relative energies come out as A 58.1; B 0.0; C 144.8, with values in kJ/mol of atoms.


A:
## HPtS2Cl (GGA-PBE)

Data for a relaxed structure of HPtS2Cl.

The structure in CIF format:
```
data_HPtS2Cl
_space_group_name_H-M_alt 'P 4/m m m'
_space_group_IT_number 123
_space_group_name_Hall '-P 4 2'
_cell_length_a 4.649
_cell_length_b 4.649
_cell_length_c 5.173
_cell_angle_alpha 90.00
_cell_angle_beta 90.00
_cell_angle_gamma 90.00
loop_
_atom_site_label
_atom_site_fract_x
_atom_site_fract_y
_atom_site_fract_z
_atom_site_occupancy
H1 0.000 0.000 0.000 1
Pt1 0.500 0.500 0.500 1
S1 0.000 0.500 0.500 1
Cl1 0.500 0.500 0.000 1
```

calculated density: 4.39 Mg/m³
V: 112 Å³/f.u.
magnetization: 0.409 μB per atom


B:
## HPtS2Cl (GGA-PBE)

Data for a relaxed structure of HPtS2Cl.

The structure in CIF format:
```
data_HPtS2Cl
_space_group_name_H-M_alt 'P 4/m m m'
_space_group_IT_number 123
_space_group_name_Hall '-P 4 2'
_cell_length_a 3.537
_cell_length_b 3.537
_cell_length_c 7.679
_cell_angle_alpha 90.00
_cell_angle_beta 90.00
_cell_angle_gamma 90.00
loop_
_atom_site_label
_atom_site_fract_x
_atom_site_fract_y
_atom_site_fract_z
_atom_site_occupancy
H1 0.000 0.000 0.000 1
Pt1 0.500 0.500 0.500 1
S1 0.000 0.500 0.000 1
Cl1 0.000 0.000 0.500 1
```

calculated density: 5.11 Mg/m³
V: 96 Å³/f.u.
magnetization: 0.000 μB per atom


The relative energies come out as A 8.7; B 0.0, with values in kJ/mol of atoms.


A:
## PuHCl3 (GGA-PBE)

Data for a relaxed structure of PuHCl3.

The structure in CIF format:
```
data_PuHCl3
_space_group_name_H-M_alt 'P 1 2/c 1'
_space_group_IT_number 13
_space_group_name_Hall '-P 2yc'
_cell_length_a 7.158
_cell_length_b 7.105
_cell_length_c 13.111
_cell_angle_alpha 90.00
_cell_angle_beta 109.67
_cell_angle_gamma 90.00
loop_
_atom_site_label
_atom_site_fract_x
_atom_site_fract_y
_atom_site_fract_z
_atom_site_occupancy
Pu1 0.001 0.250 0.087 1
H1 0.056 0.241 0.762 1
Cl1 0.232 0.059 0.999 1
Cl2 0.232 0.440 0.586 1
Cl3 0.252 0.251 0.297 1
```

calculated density: 3.72 Mg/m³
V: 157 Å³/f.u.
magnetization: 1.000 μB per atom


B:
## PuHCl3 (GGA-PBE)

Data for a relaxed structure of PuHCl3.

The structure in CIF format:
```
data_PuHCl3
_space_group_name_H-M_alt 'I m m a'
_space_group_IT_number 74
_space_group_name_Hall '-I 2b 2'
_cell_length_a 7.740
_cell_length_b 9.334
_cell_length_c 8.729
_cell_angle_alpha 90.00
_cell_angle_beta 90.00
_cell_angle_gamma 90.00
loop_
_atom_site_label
_atom_site_fract_x
_atom_site_fract_y
_atom_site_fract_z
_atom_site_occupancy
Pu1 0.250 0.250 0.250 1
H1 0.000 0.250 0.141 1
Cl1 0.000 0.250 0.463 1
Cl2 0.250 0.017 0.750 1
```

calculated density: 3.70 Mg/m³
V: 158 Å³/f.u.
magnetization: 0.800 μB per atom


The relative energies come out as A 0.0; B 37.1, with values in kJ/mol of atoms.


A:
## PuH2Cl (GGA-PBE)

Data for a relaxed structure of PuH2Cl.

The structure in CIF format:
```
data_PuH2Cl
_space_group_name_H-M_alt 'R -3 m'
_space_group_IT_number 166
_space_group_name_Hall '-R 3 2"'
_cell_length_a 3.7560
_cell_length_b 3.7560
_cell_length_c 13.6664
_cell_angle_alpha 90.00
_cell_angle_beta 90.00
_cell_angle_gamma 120.00
loop_
_atom_site_label
_atom_site_fract_x
_atom_site_fract_y
_atom_site_fract_z
_atom_site_occupancy
Pu1 0.0000 0.0000 0.0000 1
H1 0.0000 0.0000 0.3022 1
Cl1 0.0000 0.0000 0.5000 1
```

calculated density: 8.40 Mg/m³
V: 56 Å³/f.u.
magnetization: 1.250 μB per atom


B:
## PuH2Cl (GGA-PBE)

Data for a relaxed structure of PuH2Cl.

The structure in CIF format:
```
data_PuH2Cl
_space_group_name_H-M_alt 'P m m n'
_space_group_IT_number 59
_cell_length_a 3.762
_cell_length_b 5.400
_cell_length_c 5.586
_cell_angle_alpha 90.00
_cell_angle_beta 90.00
_cell_angle_gamma 90.00
loop_
_space_group_symop_operation_xyz
'x,y,z'
'-x,-y,-z'
'-x+1/2,-y+1/2,z'
'x+1/2,y+1/2,-z'
'x+1/2,-y,-z'
'-x+1/2,y,z'
'-x,y+1/2,-z'
'x,-y+1/2,z'
loop_
_atom_site_label
_atom_site_fract_x
_atom_site_fract_y
_atom_site_fract_z
_atom_site_occupancy
Pu1 0.250 0.250 0.184 1
H1 0.250 0.546 0.909 1
Cl1 0.250 0.750 0.415 1
```

calculated density: 8.24 Mg/m³
V: 57 Å³/f.u.
magnetization: 1.250 μB per atom


The relative energies come out as A 5.1; B 0.0, with values in kJ/mol of atoms.


A:
## PuH2Cl (GGA-PBE)

Data for a relaxed structure of PuH2Cl.

The structure in CIF format:
```
data_PuH2Cl
_space_group_name_H-M_alt 'P 4/m m m'
_space_group_IT_number 123
_space_group_name_Hall '-P 4 2'
_cell_length_a 3.189
_cell_length_b 3.189
_cell_length_c 5.358
_cell_angle_alpha 90.00
_cell_angle_beta 90.00
_cell_angle_gamma 90.00
loop_
_atom_site_label
_atom_site_fract_x
_atom_site_fract_y
_atom_site_fract_z
_atom_site_occupancy
Pu1 0.000 0.000 0.000 1
H1 0.500 0.500 0.165 1
Cl1 0.000 0.000 0.500 1
```

calculated density: 8.58 Mg/m³
V: 54 Å³/f.u.
magnetization: 1.250 μB per atom


B:
## PuH2Cl (GGA-PBE)

Data for a relaxed structure of PuH2Cl.

The structure in CIF format:
```
data_PuH2Cl
_space_group_name_H-M_alt 'P 1 21/m 1'
_space_group_IT_number 11
_space_group_name_Hall '-P 2yb'
_cell_length_a 3.847
_cell_length_b 6.053
_cell_length_c 5.431
_cell_angle_alpha 90.00
_cell_angle_beta 109.76
_cell_angle_gamma 90.00
loop_
_atom_site_label
_atom_site_fract_x
_atom_site_fract_y
_atom_site_fract_z
_atom_site_occupancy
Pu1 0.205 0.250 0.406 1
H1 0.315 0.561 0.637 1
Cl1 0.085 0.750 0.153 1
```

calculated density: 7.85 Mg/m³
V: 60 Å³/f.u.
magnetization: 1.250 μB per atom


The relative energies come out as A 38.4; B 0.0, with values in kJ/mol of atoms.


A:
## RbH3Cl (GGA-PBE)

Data for a relaxed structure of RbH3Cl.

The structure in CIF format:
```
data_RbH3Cl
_space_group_name_H-M_alt 'P 1 21/m 1'
_space_group_IT_number 11
_space_group_name_Hall '-P 2yb'
_cell_length_a 5.170
_cell_length_b 10.532
_cell_length_c 5.178
_cell_angle_alpha 90.00
_cell_angle_beta 107.73
_cell_angle_gamma 90.00
loop_
_atom_site_label
_atom_site_fract_x
_atom_site_fract_y
_atom_site_fract_z
_atom_site_occupancy
Rb1 0.173 0.250 0.295 1
H1 0.036 0.525 0.052 1
H2 0.470 0.750 0.076 1
Cl1 0.214 0.750 0.330 1
```

calculated density: 1.53 Mg/m³
V: 134 Å³/f.u.
magnetization: 0.200 μB per atom


B:
## RbH3Cl (GGA-PBE)

Data for a relaxed structure of RbH3Cl.

The structure in CIF format:
```
data_RbH3Cl
_space_group_name_H-M_alt 'P m -3 m'
_space_group_IT_number 221
_space_group_name_Hall '-P 4 2 3'
_cell_length_a 4.188
_cell_length_b 4.188
_cell_length_c 4.188
_cell_angle_alpha 90.00
_cell_angle_beta 90.00
_cell_angle_gamma 90.00
loop_
_atom_site_label
_atom_site_fract_x
_atom_site_fract_y
_atom_site_fract_z
_atom_site_occupancy
Rb1 0.000 0.000 0.000 1
H1 0.000 0.500 0.500 1
Cl1 0.500 0.500 0.500 1
```

calculated density: 2.80 Mg/m³
V: 73 Å³/f.u.
magnetization: 0.000 μB per atom


The relative energies come out as A 0.0; B 77.8, with values in kJ/mol of atoms.